# 1
Material: ThTeIBr
Method: DFT, GGA-PBE
State: relaxed

Its total energy is -0.3411 Ry/atom. The calculation puts the total magnetic moment at 0.0 μB/cell. The formation energy (no corrections) comes out at -1.19 eV/atom.

It has space group Imm2 (No. 44), with a = 4.1628 Å, b = 4.7766 Å, c = 17.7186 Å, α = 90.00°, β = 90.00° and γ = 90.00°. The distinct sites, in fractional coordinates, are Th at (0.0000, 0.0000, 0.0000), Te at (0.0000, 0.0000, 0.4638), I at (0.0000, 0.0000, 0.8318) and Br at (0.0000, 0.5000, 0.6228).

=====

# 2
Material: TlTeI2Br
Method: DFT, GGA-PBE
State: relaxed

Its total energy is -0.1695 Ry/atom. The calculation puts the total magnetic moment at 0.0 μB/cell. The formation energy (no corrections) comes out at -0.25 eV/atom.

It has space group P4/mmm (No. 123), with a = 6.3034 Å, b = 6.3034 Å, c = 5.5566 Å, α = 90.00°, β = 90.00° and γ = 90.00°. The distinct sites, in fractional coordinates, are Tl at (0.0000, 0.0000, 0.0000), Te at (0.5000, 0.5000, 0.5000), I at (0.0000, 0.5000, 0.5000) and Br at (0.5000, 0.5000, 0.0000).

=====

# 3
Material: Tl6Te2IBr2
Method: DFT, GGA-PBE
State: relaxed

Its total energy is -0.2051 Ry/atom. The calculation puts the total magnetic moment at 0.0 μB/cell. The formation energy (no corrections) comes out at -0.48 eV/atom.

It has space group C2/m (No. 12), with a = 8.1579 Å, b = 14.8092 Å, c = 8.2037 Å, α = 90.00°, β = 108.99° and γ = 90.00°. The distinct sites, in fractional coordinates, are Tl at (0.2444, 0.0000, 0.2462), Tl at (0.2487, 0.3128, 0.2402), Te at (0.0000, 0.1644, 0.0000), I at (0.0000, 0.5000, 0.0000) and Br at (0.0000, 0.3394, 0.5000).

=====

# 4
Material: Tl6TeI2Br2
Method: DFT, GGA-PBE
State: relaxed

Its total energy is -0.2031 Ry/atom. The calculation puts the total magnetic moment at 0.0 μB/cell. The formation energy (no corrections) comes out at -0.60 eV/atom.

It has space group C2/m (No. 12), with a = 8.1245 Å, b = 14.9635 Å, c = 8.6404 Å, α = 90.00°, β = 110.29° and γ = 90.00°. The distinct sites, in fractional coordinates, are Tl at (0.2389, 0.1651, 0.2317), Tl at (0.2502, 0.0000, 0.7826), Te at (0.0000, 0.0000, 0.0000), I at (0.0000, 0.1544, 0.5000) and Br at (0.0000, 0.3161, 0.0000).

=====

# 5
Material: Tl2TeI2Br4
Method: DFT, GGA-PBE
State: relaxed

Its total energy is -0.1826 Ry/atom. The calculation puts the total magnetic moment at 0.0 μB/cell. The formation energy (no corrections) comes out at -0.52 eV/atom.

It has space group C2/m (No. 12), with a = 13.6915 Å, b = 7.7515 Å, c = 7.9786 Å, α = 90.00°, β = 123.47° and γ = 90.00°. The distinct sites, in fractional coordinates, are Tl at (0.2494, 0.0000, 0.2084), Te at (0.0000, 0.5000, 0.0000), I at (0.2491, 0.0000, 0.6665) and Br at (0.0468, 0.2517, 0.8085).

=====

# 6
Material: TlTeI2Br
Method: DFT, GGA-PBE
State: relaxed

Its total energy is -0.1277 Ry/atom. The calculation puts the total magnetic moment at 2.4 μB/cell. The formation energy (no corrections) comes out at 0.32 eV/atom.

It has space group P4/mmm (No. 123), with a = 6.0006 Å, b = 6.0006 Å, c = 6.1344 Å, α = 90.00°, β = 90.00° and γ = 90.00°. The distinct sites, in fractional coordinates, are Tl at (0.0000, 0.0000, 0.0000), Te at (0.0000, 0.0000, 0.5000), I at (0.0000, 0.5000, 0.0000) and Br at (0.5000, 0.5000, 0.5000).

=====

# 7
Material: Tl6Te2I2Br
Method: DFT, GGA-PBE
State: relaxed

Its total energy is -0.2018 Ry/atom. The calculation puts the total magnetic moment at 0.0 μB/cell. The formation energy (no corrections) comes out at -0.45 eV/atom.

It has space group C2/m (No. 12), with a = 8.1393 Å, b = 14.7154 Å, c = 8.6684 Å, α = 90.00°, β = 107.85° and γ = 90.00°. The distinct sites, in fractional coordinates, are Tl at (0.2389, 0.1820, 0.2226), Tl at (0.2481, 0.0000, 0.7816), Te at (0.0000, 0.3350, 0.0000), I at (0.0000, 0.1653, 0.5000) and Br at (0.0000, 0.0000, 0.0000).

=====

# 8
Material: TlTeI2Br
Method: DFT, GGA-PBE
State: relaxed

Its total energy is -0.1393 Ry/atom. The calculation puts the total magnetic moment at 0.0 μB/cell. The formation energy (no corrections) comes out at 0.16 eV/atom.

It has space group P4/mmm (No. 123), with a = 5.9411 Å, b = 5.9411 Å, c = 5.7545 Å, α = 90.00°, β = 90.00° and γ = 90.00°. The distinct sites, in fractional coordinates, are Tl at (0.0000, 0.0000, 0.0000), Te at (0.5000, 0.5000, 0.0000), I at (0.0000, 0.5000, 0.5000) and Br at (0.5000, 0.5000, 0.5000).

=====

# 9
Material: VTeI2Br
Method: DFT, GGA-PBE
State: relaxed

Its total energy is -0.1581 Ry/atom. The calculation puts the total magnetic moment at 0.5 μB/cell. The formation energy (no corrections) comes out at 1.26 eV/atom.

It has space group P4/mmm (No. 123), with a = 5.7357 Å, b = 5.7357 Å, c = 5.8500 Å, α = 90.00°, β = 90.00° and γ = 90.00°. The distinct sites, in fractional coordinates, are V at (0.0000, 0.0000, 0.0000), Te at (0.5000, 0.5000, 0.0000), I at (0.0000, 0.5000, 0.5000) and Br at (0.5000, 0.5000, 0.5000).

=====

# 10
Material: VTeI2Br
Method: DFT, GGA-PBE
State: relaxed

Its total energy is -0.2435 Ry/atom. The calculation puts the total magnetic moment at 0.0 μB/cell. The formation energy (no corrections) comes out at 0.09 eV/atom.

It has space group P4/mmm (No. 123), with a = 5.3743 Å, b = 5.3743 Å, c = 5.2223 Å, α = 90.00°, β = 90.00° and γ = 90.00°. The distinct sites, in fractional coordinates, are V at (0.0000, 0.0000, 0.0000), Te at (0.0000, 0.0000, 0.5000), I at (0.0000, 0.5000, 0.0000) and Br at (0.5000, 0.5000, 0.5000).

=====

# 11
Material: Te2WIBr
Method: DFT, GGA-PBE
State: relaxed

Its total energy is -0.1989 Ry/atom. The calculation puts the total magnetic moment at 3.1 μB/cell. The formation energy (no corrections) comes out at 1.79 eV/atom.

It has space group P4/mmm (No. 123), with a = 5.6728 Å, b = 5.6728 Å, c = 5.5590 Å, α = 90.00°, β = 90.00° and γ = 90.00°. The distinct sites, in fractional coordinates, are Te at (0.0000, 0.5000, 0.0000), W at (0.0000, 0.0000, 0.5000), I at (0.5000, 0.5000, 0.5000) and Br at (0.5000, 0.5000, 0.0000).

=====

# 12
Material: Te2WIBr
Method: DFT, GGA-PBE
State: relaxed

Its total energy is -0.3004 Ry/atom. The calculation puts the total magnetic moment at 0.1 μB/cell. The formation energy (no corrections) comes out at 0.41 eV/atom.

It has space group P4/mmm (No. 123), with a = 5.2723 Å, b = 5.2723 Å, c = 5.5522 Å, α = 90.00°, β = 90.00° and γ = 90.00°. The distinct sites, in fractional coordinates, are Te at (0.0000, 0.5000, 0.0000), W at (0.0000, 0.0000, 0.0000), I at (0.0000, 0.0000, 0.5000) and Br at (0.5000, 0.5000, 0.5000).

=====

# 13
Material: Th3I2Br4
Method: DFT, GGA-PBE
State: relaxed

Its total energy is -0.3557 Ry/atom. The calculation puts the total magnetic moment at 0.0 μB/cell. The formation energy (no corrections) comes out at -1.28 eV/atom.

It has space group P-6m2 (No. 187), with a = 3.8940 Å, b = 3.8940 Å, c = 32.2989 Å, α = 90.00°, β = 90.00° and γ = 120.00°. The distinct sites, in fractional coordinates, are Th at (0.0000, 0.0000, 0.0000), Th at (0.3333, 0.6667, 0.2617), I at (0.3333, 0.6667, 0.0716), Br at (0.0000, 0.0000, 0.1980) and Br at (0.0000, 0.0000, 0.3255).

=====

# 14
Material: ThIBr
Method: DFT, GGA-PBE
State: relaxed

Its total energy is -0.3249 Ry/atom. The calculation puts the total magnetic moment at 0.0 μB/cell. The formation energy (no corrections) comes out at -0.87 eV/atom.

It has space group Cm (No. 8), with a = 9.1119 Å, b = 4.9002 Å, c = 10.5722 Å, α = 90.00°, β = 99.03° and γ = 90.00°. The distinct sites, in fractional coordinates, are Th at (0.0000, 0.0000, 0.0000), Th at (0.0522, 0.5000, 0.2865), I at (0.3066, 0.0000, 0.8232), I at (0.4234, 0.5000, 0.4636), Br at (0.1832, 0.5000, 0.0402) and Br at (0.2208, 0.0000, 0.2464).

=====

# 15
Material: ThI3Br
Method: DFT, GGA-PBE
State: relaxed

Its total energy is -0.3003 Ry/atom. The calculation puts the total magnetic moment at 0.0 μB/cell. The formation energy (no corrections) comes out at -1.34 eV/atom.

It has space group C2/m (No. 12), with a = 12.2825 Å, b = 9.7834 Å, c = 8.3300 Å, α = 90.00°, β = 95.93° and γ = 90.00°. The distinct sites, in fractional coordinates, are Th at (0.1949, 0.0000, 0.4405), I at (0.0535, 0.0000, 0.7406), I at (0.1351, 0.3112, 0.3446) and Br at (0.1920, 0.5000, 0.8226).

=====

# 16
Material: ThI3Br
Method: DFT, GGA-PBE
State: relaxed

Its total energy is -0.2987 Ry/atom. The calculation puts the total magnetic moment at 0.0 μB/cell. The formation energy (no corrections) comes out at -1.32 eV/atom.

It has space group R-3 (No. 148, hexagonal axes), with a = 8.3985 Å, b = 8.3985 Å, c = 24.7163 Å, α = 90.00°, β = 90.00° and γ = 120.00°. The distinct sites, in fractional coordinates, are Th at (0.0000, 0.0000, 0.1969), I at (0.0151, 0.2901, 0.1092) and Br at (0.0000, 0.0000, 0.3077).

=====

# 17
Material: Th2I8Br
Method: DFT, GGA-PBE
State: relaxed

Its total energy is -0.2734 Ry/atom. The calculation puts the total magnetic moment at 2.1 μB/cell. The formation energy (no corrections) comes out at -1.09 eV/atom.

It has space group C2/m (No. 12), with a = 15.4471 Å, b = 9.7474 Å, c = 8.6460 Å, α = 90.00°, β = 123.36° and γ = 90.00°. The distinct sites, in fractional coordinates, are Th at (0.2003, 0.0000, 0.0160), I at (0.1185, 0.3086, 0.9446), I at (0.1250, 0.0000, 0.5946), I at (0.1847, 0.5000, 0.5747) and Br at (0.0000, 0.0000, 0.0000).

=====

# 18
Material: ThIBr3
Method: DFT, GGA-PBE
State: relaxed

Its total energy is -0.3212 Ry/atom. The calculation puts the total magnetic moment at 0.0 μB/cell. The formation energy (no corrections) comes out at -1.57 eV/atom.

It has space group R-3 (No. 148, hexagonal axes), with a = 7.8162 Å, b = 7.8162 Å, c = 25.9597 Å, α = 90.00°, β = 90.00° and γ = 120.00°. The distinct sites, in fractional coordinates, are Th at (0.0000, 0.0000, 0.1946), I at (0.0000, 0.0000, 0.3090) and Br at (0.0151, 0.2901, 0.1174).

=====

# 19
Material: ThIBr4
Method: DFT, GGA-PBE
State: relaxed

Its total energy is -0.2702 Ry/atom. The calculation puts the total magnetic moment at 2.0 μB/cell. The formation energy (no corrections) comes out at -1.07 eV/atom.

It has space group I-4 (No. 82), with a = 7.8500 Å, b = 7.8500 Å, c = 12.0159 Å, α = 90.00°, β = 90.00° and γ = 90.00°. The distinct sites, in fractional coordinates, are Th at (0.0000, 0.0000, 0.0000), I at (0.0000, 0.5000, 0.7500) and Br at (0.1131, 0.2611, 0.1296).

=====

# 20
Material: ThIBr
Method: DFT, GGA-PBE
State: relaxed

Its total energy is -0.3523 Ry/atom. The calculation puts the total magnetic moment at 0.0 μB/cell. The formation energy (no corrections) comes out at -1.25 eV/atom.

It has space group P3m1 (No. 156), with a = 3.8322 Å, b = 3.8322 Å, c = 8.6794 Å, α = 90.00°, β = 90.00° and γ = 120.00°. The distinct sites, in fractional coordinates, are Th at (0.0000, 0.0000, 0.0000), I at (0.6667, 0.3333, 0.2672) and Br at (0.3333, 0.6667, 0.7561).